Entry 1:
AgH4Ru (PBE-GGA, relaxed); mass density = 5.0 Mg/m³; raw total energy = -4.069 eV/atom; space-group type = C2/c; Fermi-level density of states = 2.63 states/eV/cell
1.0
2.6952 -5.7379 0.0000
2.6952 5.7379 0.0000
-2.2572 0.0000 4.5820
Ag H Ru
2 8 2
Cartesian
1.0022 4.9559 3.4365 Ag
2.1309 -4.9560 1.1455 Ag
0.4263 1.7193 2.6446 H
-0.3392 0.9256 4.3396 H
0.7894 -0.9256 2.0486 H
1.5549 -1.7193 0.3536 H
1.5782 1.7193 4.2283 H
2.3437 0.9256 2.5334 H
3.4723 -0.9256 0.2424 H
2.7068 -1.7193 1.9374 H
1.0022 0.4149 3.4365 Ru
2.1309 -0.4149 1.1455 Ru

Entry 2:
Ag5H12Ru3 (PBE-GGA, relaxed); mass density = 8.2 Mg/m³; raw total energy = -3.834 eV/atom; space-group type = Ia-3d; Fermi-level density of states = 21.26 states/eV/cell
1.0
-5.5682 5.5682 5.5682
5.5682 -5.5682 5.5682
5.5682 5.5682 -5.5682
Ag H Ru
20 48 12
Cartesian
0.0000 0.0000 0.0000 Ag
2.7841 2.7841 -2.7841 Ag
2.7841 -2.7841 2.7841 Ag
5.5682 0.0000 0.0000 Ag
8.3523 1.3920 0.0000 Ag
5.5682 -2.7841 4.1761 Ag
4.1761 5.5682 -2.7841 Ag
4.1761 0.0000 2.7841 Ag
2.7841 4.1761 0.0000 Ag
5.5682 2.7841 1.3920 Ag
-2.7841 2.7841 2.7841 Ag
0.0000 5.5682 0.0000 Ag
0.0000 0.0000 5.5682 Ag
2.7841 2.7841 2.7841 Ag
0.0000 2.7841 4.1761 Ag
2.7841 1.3920 5.5682 Ag
1.3920 5.5682 2.7841 Ag
1.3920 0.0000 8.3523 Ag
0.0000 8.3523 1.3920 Ag
-2.7841 4.1761 5.5682 Ag
7.3896 -0.0315 0.9244 H
6.5309 -1.8597 2.7526 H
5.5997 -0.9244 1.8214 H
8.3208 -0.9627 1.8597 H
1.8214 0.0315 0.9244 H
6.5309 3.7085 -2.7526 H
3.7085 2.7526 -0.9627 H
4.6437 1.8214 -0.0315 H
0.9244 1.8214 0.0315 H
7.4278 2.8156 -0.9627 H
0.0315 0.9244 1.8214 H
2.7526 -0.9627 3.7085 H
5.5997 4.6437 -1.8214 H
2.7526 0.9627 1.8597 H
1.8597 2.7526 0.9627 H
6.4926 3.7468 -0.0315 H
3.7085 -2.7526 6.5309 H
4.6437 -1.8214 5.5997 H
0.9627 1.8597 2.7526 H
1.8214 -0.0315 4.6437 H
2.7526 6.5309 -1.8597 H
5.5997 0.9244 3.7468 H
1.8214 5.5997 -0.9244 H
6.5309 1.8597 2.8156 H
-0.9627 3.7085 2.7526 H
3.7468 -0.0315 6.4926 H
-0.0315 4.6437 1.8214 H
2.8156 -0.9627 7.4278 H
3.7468 5.5997 0.9244 H
4.6055 3.7085 2.8156 H
0.9244 7.3896 -0.0315 H
1.8597 8.3208 -0.9627 H
-0.9244 1.8214 5.5997 H
3.7085 2.8156 4.6055 H
2.8156 4.6055 3.7085 H
-0.0315 0.9244 7.3896 H
2.8156 6.5309 1.8597 H
5.5367 4.6437 3.7468 H
-1.8597 2.7526 6.5309 H
4.6437 3.7468 5.5367 H
0.9244 3.7468 5.5997 H
1.8597 2.8156 6.5309 H
-0.9627 1.8597 8.3208 H
3.7468 5.5367 4.6437 H
-2.7526 6.5309 3.7085 H
-0.0315 6.4926 3.7468 H
-0.9627 7.4278 2.8156 H
-1.8214 5.5997 4.6437 H
2.7841 1.3920 0.0000 Ru
5.5682 2.7841 -1.3920 Ru
1.3920 0.0000 2.7841 Ru
6.9602 0.0000 2.7841 Ru
0.0000 2.7841 1.3920 Ru
2.7841 -1.3920 5.5682 Ru
2.7841 6.9602 0.0000 Ru
5.5682 2.7841 4.1761 Ru
-1.3920 5.5682 2.7841 Ru
4.1761 5.5682 2.7841 Ru
0.0000 2.7841 6.9602 Ru
2.7841 4.1761 5.5682 Ru

Entry 3:
Ag2HRu (PBE-GGA, relaxed); mass density = 9.5 Mg/m³; raw total energy = -3.774 eV/atom; space-group type = I-42d; Fermi-level density of states = 18.15 states/eV/cell
1.0
6.6162 0.0000 0.0000
0.0000 6.6162 0.0000
0.0000 0.0000 5.0797
Ag H Ru
8 4 4
Cartesian
1.0211 4.9621 0.6350 Ag
1.6540 1.0211 4.4447 Ag
1.6540 2.2870 1.9049 Ag
2.2870 4.9621 3.1748 Ag
4.3292 1.6540 3.1748 Ag
4.9621 4.3292 1.9049 Ag
4.9621 5.5951 4.4447 Ag
5.5951 1.6540 0.6350 Ag
0.0000 0.0000 0.0000 H
0.0000 3.3081 1.2699 H
3.3081 0.0000 3.8097 H
3.3081 3.3081 2.5398 H
0.0000 0.0000 2.5398 Ru
0.0000 3.3081 3.8097 Ru
3.3081 0.0000 1.2699 Ru
3.3081 3.3081 0.0000 Ru

Entry 4:
AgHRu3 (PBE-GGA, relaxed); mass density = 11.1 Mg/m³; raw total energy = -6.332 eV/atom; space-group type = Pm-3m; Fermi-level density of states = 5.97 states/eV/cell
1.0
3.9553 0.0000 0.0000
0.0000 3.9553 0.0000
0.0000 0.0000 3.9553
Ag H Ru
1 1 3
Cartesian
0.0000 0.0000 0.0000 Ag
1.9776 1.9776 1.9776 H
0.0000 1.9776 1.9776 Ru
1.9776 0.0000 1.9776 Ru
1.9776 1.9776 0.0000 Ru

Entry 5:
Sc2AgHRu (PBE-GGA, relaxed); mass density = 6.6 Mg/m³; raw total energy = -6.047 eV/atom; space-group type = P4/mmm; Fermi-level density of states = 2.39 states/eV/cell
1.0
4.6151 0.0000 0.0000
0.0000 4.6151 0.0000
0.0000 0.0000 3.5570
Sc Ag H Ru
2 1 1 1
Cartesian
0.0000 2.3076 0.0000 Sc
2.3076 0.0000 0.0000 Sc
0.0000 0.0000 1.7785 Ag
2.3076 2.3076 0.0000 H
2.3076 2.3076 1.7785 Ru

Entry 6:
Ta2AgHRu (PBE-GGA, relaxed); mass density = 13.8 Mg/m³; raw total energy = -7.775 eV/atom; space-group type = P4/mmm; Fermi-level density of states = 2.85 states/eV/cell
1.0
4.1148 0.0000 0.0000
0.0000 4.1148 0.0000
0.0000 0.0000 4.0495
Ta Ag H Ru
2 1 1 1
Cartesian
0.0000 2.0574 0.0000 Ta
2.0574 0.0000 0.0000 Ta
0.0000 0.0000 2.0247 Ag
2.0574 2.0574 0.0000 H
2.0574 2.0574 2.0247 Ru